## P
A PBEsol-optimized structure of YWCl2, computed with SCAN.

Lattice parameters (Å, degrees): 3.0802 4.6343 5.8174 113.47 105.35 90.00
Positions (direct):
W 0.4815 0.4815 0.9630
Y 0.2495 0.7495 0.4990
Cl 0.7819 0.2819 0.5639
Cl 0.9871 0.9871 0.9741

Results
N(E_F) in states/eV/f.u.: 1.9

## Q
A PBEsol-optimized structure of YWCl2, computed with SCAN.

Lattice parameters (Å, degrees): 3.2137 4.5780 5.2810 90.00 90.02 90.00
Positions (direct):
Y 0.1252 0.5000 0.7147
Cl 0.6250 0.5000 0.2912
Cl 0.1248 0.0000 0.0687
W 0.6250 0.0000 0.4255

Results
N(E_F) in states/eV/f.u.: 2.1

Relative to the most stable one, in eV/atom, the structures come out at P 0.268; Q 0.000.

## P
A PBEsol-optimized structure of YWCl2, computed with SCAN.

Lattice parameters (Å, degrees): 3.4624 5.1511 5.3200 118.06 107.76 92.42
Each line ends with the local moment (μB).
Positions (direct):
Y 0.5000 0.5000 0.0000  -0.07
Cl 0.0000 0.0000 0.5000  0.01
Cl 0.5000 0.5000 0.5000  0.01
W 0.0000 0.0000 0.0000  1.21

Results
N(E_F) in states/eV/f.u.: 2.8

## Q
A PBEsol-optimized structure of YWCl2, computed with SCAN.

Lattice parameters (Å, degrees): 3.3590 3.3590 9.1337 79.40 79.40 60.00
Positions (direct):
Cl 0.7722 0.7722 0.6833
Cl 0.9851 0.9851 0.0446
Y 0.2492 0.2492 0.2524
W 0.4934 0.4934 0.5197

Results
N(E_F) in states/eV/f.u.: 2.0

Relative to the most stable one, in eV/atom, the structures come out at P 0.505; Q 0.000.

## P
A PBEsol-optimized structure of YW2Cl, computed with SCAN.

Lattice parameters (Å, degrees): 3.2156 3.2156 8.0498 90.00 90.00 90.00
Positions (direct):
W 0.5000 0.5000 0.2266
W 0.0000 0.0000 0.0751
Y 0.0000 0.0000 0.4874
Cl 0.5000 0.5000 0.7108

Results
N(E_F) in states/eV/f.u.: 4.2

## Q
A PBEsol-optimized structure of YW2Cl, computed with SCAN.

Lattice parameters (Å, degrees): 3.1680 3.2610 7.6616 102.29 90.00 90.00
Positions (direct):
W 0.5000 0.5800 0.1599
W 0.0000 0.1661 0.3322
Cl 0.5000 0.3132 0.6264
Y 0.0000 0.9448 0.8897

Results
N(E_F) in states/eV/f.u.: 2.6

Relative to the most stable one, in eV/atom, the structures come out at P 0.056; Q 0.000.

## P
A PBEsol-optimized structure of YW2Cl, computed with SCAN.

Lattice parameters (Å, degrees): 3.0763 4.2509 6.4962 109.10 103.70 90.00
Positions (direct):
W 0.7603 0.7603 0.5206
W 0.2397 0.2397 0.4794
Y 0.5000 0.0000 0.0000
Cl 0.0000 0.5000 0.0000

Results
N(E_F) in states/eV/f.u.: 3.3

## Q
A PBEsol-optimized structure of YW2Cl, computed with SCAN.

Lattice parameters (Å, degrees): 3.1256 4.2369 5.6795 90.00 90.00 90.00
Positions (direct):
W 0.5000 0.5000 0.0000
W 0.0000 0.0000 0.0000
Cl 0.0000 0.5000 0.5000
Y 0.5000 0.0000 0.5000

Results
N(E_F) in states/eV/f.u.: 3.6

## R
A PBEsol-optimized structure of YW2Cl, computed with SCAN.

Lattice parameters (Å, degrees): 3.3787 5.3256 5.3256 61.35 71.51 71.51
Positions (direct):
W 0.0018 0.9982 0.9982
W 0.2921 0.2079 0.2079
Cl 0.7251 0.7749 0.7749
Y 0.4810 0.5190 0.5190

Results
N(E_F) in states/eV/f.u.: 3.3

Relative to the most stable one, in eV/atom, the structures come out at P 0.000; Q 0.057; R 0.267.